Below is a relaxed KTa2Sb crystal, with properties calculated at the GGA-PBE level.

- formation energy (no corrections) (meV/atom) = 854
- volume (Å³/atom) = 23.498
- crystal system = orthorhombic
- space group = Cmmm

POSCAR file:
```
KTa2Sb
1.0
1.707 -2.504 0.000
1.707 2.504 0.000
0.000 0.000 10.996
K Ta Sb
1 2 1
Cartesian
0.000 0.000 0.000
1.707 0.000 3.212
1.707 0.000 7.784
0.000 0.000 5.498
```